# SmErB4

A relaxed structure of SmErB4 (PBE-GGA, OQMD).

Structure (POSCAR):
```
SmErB4
1.0
3.2985 0.0000 0.0000
-1.6493 2.8566 0.0000
0.0000 0.0000 7.8394
Sm Er B
1 1 4
Cartesian
0.0000 0.0000 0.0000
0.0000 0.0000 3.9197
0.0000 1.9044 2.0391
0.0000 1.9044 5.8002
1.6493 0.9522 2.0391
1.6493 0.9522 5.8002
```

## Properties
The calculated total energy comes out at -39.03 eV for the cell shown. The calculation puts the spin magnetization at 0.0 μB/f.u. Its space group is P6/mmm. For the distance to the lowest polymorph of the same formula, the calculation gives 0.000 eV/atom.

***

# SmTmGe2

A relaxed structure of SmTmGe2 (PBE-GGA, OQMD).

Structure (POSCAR):
```
SmTmGe2
1.0
3.2416 0.0000 0.0000
0.0000 2.9329 5.7354
0.0000 -2.9329 5.7354
Sm Tm Ge
1 1 2
Cartesian
0.0000 0.0000 0.0000
0.0000 0.0000 3.3939
0.0000 0.0000 6.1696
0.0000 0.0000 8.6247
```

## Properties
The calculated total energy comes out at -18.22 eV for the cell shown. The calculation puts the spin magnetization at 0.0 μB/f.u. Its space group is Amm2.

***

# Gd4Hf3Tl

A relaxed structure of Gd4Hf3Tl (PBE-GGA, OQMD).

Structure (POSCAR):
```
Gd4Hf3Tl
1.0
6.2253 -5.4708 0.0000
6.2253 5.4708 0.0000
-0.8547 0.0000 3.1667
Gd Hf Tl
4 3 1
Cartesian
3.8485 2.7586 2.7475
7.7475 2.7586 0.4192
3.8485 -2.7586 2.7475
7.7475 -2.7586 0.4192
-0.4273 0.0000 1.5833
2.8867 0.0000 0.7870
8.7092 0.0000 2.3797
6.2253 0.0000 0.0000
```

## Properties
The calculated total energy comes out at -49.16 eV for the cell shown. The calculation puts the spin magnetization at 0.0 μB/f.u. Its space group is C2/m.

***

# GaFeTcNi

A relaxed structure of GaFeTcNi (PBE-GGA, OQMD).

Structure (POSCAR):
```
GaFeTcNi
1.0
0.0000 2.9546 2.9546
2.9546 0.0000 2.9546
2.9546 2.9546 0.0000
Ga Fe Tc Ni
1 1 1 1
Cartesian
0.0000 0.0000 0.0000
2.9546 2.9546 2.9546
4.4319 4.4319 4.4319
1.4773 1.4773 1.4773
```

## Properties
The calculated total energy comes out at -27.56 eV for the cell shown. The calculation puts the spin magnetization at 3.5 μB/f.u. Its space group is F-43m. For the distance to the lowest polymorph of the same formula, the calculation gives 0.000 eV/atom.

***

# ZnCl2

A relaxed structure of ZnCl2 (PBE-GGA, OQMD).

Structure (POSCAR):
```
ZnCl2
1.0
6.0324 0.0000 0.0000
0.0000 6.0324 0.0000
0.0000 0.0000 3.5762
Zn Cl
2 4
Cartesian
0.0000 0.0000 0.0000
3.0162 3.0162 1.7881
1.1456 1.1456 1.7881
1.8706 4.1618 0.0000
4.1618 1.8706 0.0000
4.8868 4.8868 1.7881
```

## Properties
The calculated total energy comes out at -16.05 eV for the cell shown. Its space group is P4_2/mnm.

***

# HoPPbO

A relaxed structure of HoPPbO (PBE-GGA, OQMD).

Structure (POSCAR):
```
HoPPbO
1.0
4.7083 0.0000 0.0000
0.0000 6.9011 0.0000
0.0000 0.0000 6.2853
Ho P Pb O
2 2 2 2
Cartesian
0.0000 0.9817 0.0000
0.0000 5.9194 3.1426
2.3541 2.0695 5.4980
2.3541 4.8316 2.3554
2.3541 2.0513 2.6303
2.3541 4.8499 5.7730
0.0000 0.8710 2.1247
0.0000 6.0301 5.2674
```

## Properties
The calculated total energy comes out at -48.15 eV for the cell shown. The calculation puts the spin magnetization at 0.0 μB/f.u. Its space group is Pmc2_1. For the distance to the lowest polymorph of the same formula, the calculation gives 0.069 eV/atom.

***

Question: Number 6 is which compound?
Answer: HoPPbO